The following is a PBE calculation of a geometry-optimized TaOs2Ru structure, from Alexandria via LeMat-Bulk.

Energy above the most stable polymorph in this dataset: 0.122 eV per atom
E_form: -0.0387 eV/atom

The structure in CIF format:
```
data_TaOs2Ru
_chemical_formula_sum 'Ta1 Os2 Ru1'
_space_group_name_H-M_alt 'P 1'
_space_group_IT_number 1
_cell_length_a 2.7962
_cell_length_b 3.8530
_cell_length_c 5.6363
_cell_angle_alpha 90.00
_cell_angle_beta 90.00
_cell_angle_gamma 90.00
loop_
_space_group_symop_operation_xyz
'x,y,z'
loop_
_atom_site_label
_atom_site_type_symbol
_atom_site_fract_x
_atom_site_fract_y
_atom_site_fract_z
Ru1 Ru 0.5000 0.5000 0.2500
Os1 Os 0.0000 0.0000 0.4853
Os2 Os 0.0000 0.0000 0.0147
Ta1 Ta 0.5000 0.5000 0.7500
```

=====

The following is a PBE calculation of a geometry-optimized HoPI structure, from Alexandria via LeMat-Bulk.

Energy above the most stable polymorph in this dataset: 0.434 eV per atom
Raw formation energy: -0.755 eV per atom

The structure in CIF format:
```
data_HoPI
_chemical_formula_sum 'Ho1 P1 I1'
_space_group_name_H-M_alt 'P 1'
_space_group_IT_number 1
_cell_length_a 3.8142
_cell_length_b 3.8142
_cell_length_c 6.1989
_cell_angle_alpha 107.92
_cell_angle_beta 107.92
_cell_angle_gamma 90.00
loop_
_space_group_symop_operation_xyz
'x,y,z'
loop_
_atom_site_label
_atom_site_type_symbol
_atom_site_fract_x
_atom_site_fract_y
_atom_site_fract_z
Ho1 Ho 0.7101 0.7101 0.4202
P1 P 0.2789 0.2789 0.5577
I1 I 0.0110 0.0110 0.0221
```